VASP calculation (PBE) on a relaxed Cs2GePb crystal.

```
Cs2GePb
1.0
0.000 4.543 4.543
4.543 0.000 4.543
4.543 4.543 0.000
Cs Ge Pb
2 1 1
Cartesian
2.271 2.271 2.271
6.814 6.814 6.814
0.000 0.000 0.000
4.543 4.543 4.543
```

Results
distance to the lowest polymorph of the same formula = 0.339 eV per atom
SG = Fm-3m
M_tot = 0.0041 μB/atom